1.
# TiHgC2, relaxed, DFT GGA-PBE
# VASP energy ... -22.06 eV/f.u.
# M_tot ... 0.00 μB per formula unit
# Energy of formation ... 4.589 eV/f.u.
# Calculated volume ... 244.5 Å³ per cell
data_TiHgC2
_chemical_formula_sum 'Ti4 Hg4 C8'
_space_group_name_H-M_alt 'I -4 2 d'
_space_group_IT_number 122
_space_group_name_Hall 'I -4 2bw'
_cell_length_a 5.038
_cell_length_b 5.038
_cell_length_c 9.633
_cell_angle_alpha 90.00
_cell_angle_beta 90.00
_cell_angle_gamma 90.00
loop_
_atom_site_label
_atom_site_fract_x
_atom_site_fract_y
_atom_site_fract_z
_atom_site_occupancy
Ti1 0.000 0.000 0.000 1
Hg1 0.000 0.000 0.500 1
C1 0.210 0.250 0.125 1

=====

2.
# Ti3HgC, relaxed, DFT GGA-PBE
# VASP energy ... -35.67 eV/f.u.
# M_tot ... 0.01 μB per formula unit
# Energy of formation ... -2.459 eV/f.u.
# Calculated volume ... 75.8 Å³ per cell
# Excess energy over the best structure of this formula in the dataset ... 0 meV per atom
data_Ti3HgC
_chemical_formula_sum 'Ti3 Hg1 C1'
_space_group_name_H-M_alt 'P m -3 m'
_space_group_IT_number 221
_space_group_name_Hall '-P 4 2 3'
_cell_length_a 4.233
_cell_length_b 4.233
_cell_length_c 4.233
_cell_angle_alpha 90.00
_cell_angle_beta 90.00
_cell_angle_gamma 90.00
loop_
_atom_site_label
_atom_site_fract_x
_atom_site_fract_y
_atom_site_fract_z
_atom_site_occupancy
Ti1 0.000 0.000 0.500 1
Hg1 0.500 0.500 0.500 1
C1 0.000 0.000 0.000 1

=====

3.
# Ti3HgC, relaxed, DFT GGA-PBE
# VASP energy ... -34.59 eV/f.u.
# M_tot ... 0.00 μB per formula unit
# Energy of formation ... -1.380 eV/f.u.
# Calculated volume ... 516.4 Å³ per cell
# Excess energy over the best structure of this formula in the dataset ... 216 meV per atom
data_Ti3HgC
_chemical_formula_sum 'Ti18 Hg6 C6'
_space_group_name_H-M_alt 'R -3'
_space_group_IT_number 148
_space_group_name_Hall '-R 3'
_cell_length_a 5.3715
_cell_length_b 5.3715
_cell_length_c 20.6660
_cell_angle_alpha 90.00
_cell_angle_beta 90.00
_cell_angle_gamma 120.00
loop_
_atom_site_label
_atom_site_fract_x
_atom_site_fract_y
_atom_site_fract_z
_atom_site_occupancy
Ti1 0.0011 0.6787 0.2793 1
Hg1 0.0000 0.0000 0.1639 1
C1 0.0000 0.0000 0.3388 1

=====

4.
# Ti3HgC, relaxed, DFT GGA-PBE
# VASP energy ... -35.26 eV/f.u.
# M_tot ... 0.10 μB per formula unit
# Energy of formation ... -2.049 eV/f.u.
# Calculated volume ... 310.3 Å³ per cell
# Excess energy over the best structure of this formula in the dataset ... 82 meV per atom
data_Ti3HgC
_chemical_formula_sum 'Ti12 Hg4 C4'
_space_group_name_H-M_alt 'C 1 2/m 1'
_space_group_IT_number 12
_space_group_name_Hall '-C 2y'
_cell_length_a 9.940
_cell_length_b 4.308
_cell_length_c 8.033
_cell_angle_alpha 90.00
_cell_angle_beta 115.54
_cell_angle_gamma 90.00
loop_
_atom_site_label
_atom_site_fract_x
_atom_site_fract_y
_atom_site_fract_z
_atom_site_occupancy
Ti1 0.114 0.000 0.182 1
Ti2 0.139 0.000 0.683 1
Ti3 0.143 0.500 0.940 1
Hg1 0.116 0.500 0.430 1
C1 0.118 0.000 0.925 1

=====

5.
# Ti3HgC, relaxed, DFT GGA-PBE
# VASP energy ... -34.67 eV/f.u.
# M_tot ... 0.00 μB per formula unit
# Energy of formation ... -1.456 eV/f.u.
# Calculated volume ... 318.5 Å³ per cell
# Excess energy over the best structure of this formula in the dataset ... 201 meV per atom
data_Ti3HgC
_chemical_formula_sum 'Ti12 Hg4 C4'
_space_group_name_H-M_alt 'P 1 21/c 1'
_space_group_IT_number 14
_space_group_name_Hall '-P 2ybc'
_cell_length_a 7.800
_cell_length_b 5.557
_cell_length_c 7.938
_cell_angle_alpha 90.00
_cell_angle_beta 112.26
_cell_angle_gamma 90.00
loop_
_atom_site_label
_atom_site_fract_x
_atom_site_fract_y
_atom_site_fract_z
_atom_site_occupancy
Ti1 0.051 0.080 0.351 1
Ti2 0.181 0.561 0.535 1
Ti3 0.331 0.133 0.756 1
Hg1 0.395 0.680 0.895 1
C1 0.067 0.246 0.102 1

=====

6.
# Ti3HgC, relaxed, DFT GGA-PBE
# VASP energy ... -33.91 eV/f.u.
# M_tot ... 0.00 μB per formula unit
# Energy of formation ... -0.696 eV/f.u.
# Calculated volume ... 676.4 Å³ per cell
# Excess energy over the best structure of this formula in the dataset ... 353 meV per atom
data_Ti3HgC
_chemical_formula_sum 'Ti24 Hg8 C8'
_space_group_name_H-M_alt 'C m c m'
_space_group_IT_number 63
_space_group_name_Hall '-C 2c 2'
_cell_length_a 12.606
_cell_length_b 12.750
_cell_length_c 4.208
_cell_angle_alpha 90.00
_cell_angle_beta 90.00
_cell_angle_gamma 90.00
loop_
_atom_site_label
_atom_site_fract_x
_atom_site_fract_y
_atom_site_fract_z
_atom_site_occupancy
Ti1 0.164 0.241 0.250 1
Ti2 0.166 0.413 0.750 1
Ti3 0.172 0.077 0.750 1
Hg1 0.000 0.238 0.750 1
Hg2 0.000 0.414 0.250 1
C1 0.162 0.084 0.250 1

=====

7.
# Ti4Hg2C, relaxed, DFT GGA-PBE
# VASP energy ... -42.87 eV/f.u.
# M_tot ... 0.00 μB per formula unit
# Energy of formation ... -1.466 eV/f.u.
# Calculated volume ... 243.1 Å³ per cell
# Excess energy over the best structure of this formula in the dataset ... 37 meV per atom
data_Ti4Hg2C
_chemical_formula_sum 'Ti8 Hg4 C2'
_space_group_name_H-M_alt 'I 4/m m m'
_space_group_IT_number 139
_space_group_name_Hall '-I 4 2'
_cell_length_a 4.197
_cell_length_b 4.197
_cell_length_c 13.806
_cell_angle_alpha 90.00
_cell_angle_beta 90.00
_cell_angle_gamma 90.00
loop_
_atom_site_label
_atom_site_fract_x
_atom_site_fract_y
_atom_site_fract_z
_atom_site_occupancy
Ti1 0.000 0.000 0.155 1
Ti2 0.000 0.500 0.000 1
Hg1 0.000 0.000 0.357 1
C1 0.000 0.000 0.000 1

=====

8.
# Ti3HgC, relaxed, DFT GGA-PBE
# VASP energy ... -33.17 eV/f.u.
# M_tot ... 1.96 μB per formula unit
# Energy of formation ... 0.040 eV/f.u.
# Calculated volume ... 178.7 Å³ per cell
# Excess energy over the best structure of this formula in the dataset ... 500 meV per atom
data_Ti3HgC
_chemical_formula_sum 'Ti6 Hg2 C2'
_space_group_name_H-M_alt 'P 63/m m c'
_space_group_IT_number 194
_space_group_name_Hall '-P 6c 2c'
_cell_length_a 3.5186
_cell_length_b 3.5186
_cell_length_c 16.6629
_cell_angle_alpha 90.00
_cell_angle_beta 90.00
_cell_angle_gamma 120.00
loop_
_atom_site_label
_atom_site_fract_x
_atom_site_fract_y
_atom_site_fract_z
_atom_site_occupancy
Ti1 0.0000 0.0000 0.2500 1
Ti2 0.3333 0.6667 0.1272 1
Hg1 0.0000 0.0000 0.0000 1
C1 0.3333 0.6667 0.2500 1

=====

9.
# Ti2HgC, relaxed, DFT GGA-PBE
# VASP energy ... -27.53 eV/f.u.
# M_tot ... 0.00 μB per formula unit
# Energy of formation ... -2.212 eV/f.u.
# Calculated volume ... 180.9 Å³ per cell
data_Ti2HgC
_chemical_formula_sum 'Ti6 Hg3 C3'
_space_group_name_H-M_alt 'R 3 m'
_space_group_IT_number 160
_space_group_name_Hall 'R 3 -2"'
_cell_length_a 3.1233
_cell_length_b 3.1233
_cell_length_c 21.4165
_cell_angle_alpha 90.00
_cell_angle_beta 90.00
_cell_angle_gamma 120.00
loop_
_atom_site_label
_atom_site_fract_x
_atom_site_fract_y
_atom_site_fract_z
_atom_site_occupancy
Ti1 0.0000 0.0000 0.0000 1
Ti2 0.0000 0.0000 0.2287 1
Hg1 0.0000 0.0000 0.7811 1
C1 0.0000 0.0000 0.6133 1

=====

10.
# Ti3HgC, relaxed, DFT GGA-PBE
# VASP energy ... -34.77 eV/f.u.
# M_tot ... 0.26 μB per formula unit
# Energy of formation ... -1.561 eV/f.u.
# Calculated volume ... 333.4 Å³ per cell
# Excess energy over the best structure of this formula in the dataset ... 180 meV per atom
data_Ti3HgC
_chemical_formula_sum 'Ti12 Hg4 C4'
_space_group_name_H-M_alt 'C 1 2/m 1'
_space_group_IT_number 12
_space_group_name_Hall '-C 2y'
_cell_length_a 15.898
_cell_length_b 3.094
_cell_length_c 7.516
_cell_angle_alpha 90.00
_cell_angle_beta 115.59
_cell_angle_gamma 90.00
loop_
_atom_site_label
_atom_site_fract_x
_atom_site_fract_y
_atom_site_fract_z
_atom_site_occupancy
Ti1 0.077 0.000 0.300 1
Ti2 0.082 0.500 0.634 1
Ti3 0.246 0.000 0.657 1
Hg1 0.138 0.000 0.985 1
C1 0.162 0.500 0.473 1

=====

11.
# Ti2HgC, relaxed, DFT GGA-PBE
# VASP energy ... -22.03 eV/f.u.
# M_tot ... 0.77 μB per formula unit
# Energy of formation ... 3.283 eV/f.u.
# Calculated volume ... 238.9 Å³ per cell
data_Ti2HgC
_chemical_formula_sum 'Ti8 Hg4 C4'
_space_group_name_H-M_alt 'F m -3 m'
_space_group_IT_number 225
_space_group_name_Hall '-F 4 2 3'
_cell_length_a 6.205
_cell_length_b 6.205
_cell_length_c 6.205
_cell_angle_alpha 90.00
_cell_angle_beta 90.00
_cell_angle_gamma 90.00
loop_
_atom_site_label
_atom_site_fract_x
_atom_site_fract_y
_atom_site_fract_z
_atom_site_occupancy
Ti1 0.250 0.250 0.250 1
Hg1 0.000 0.000 0.000 1
C1 0.000 0.000 0.500 1

=====

12.
# TiHgC, relaxed, DFT GGA-PBE
# VASP energy ... -17.48 eV/f.u.
# M_tot ... 0.00 μB per formula unit
# Energy of formation ... -0.056 eV/f.u.
# Calculated volume ... 362.3 Å³ per cell
data_TiHgC
_chemical_formula_sum 'Ti6 Hg6 C6'
_space_group_name_H-M_alt 'R -3 m'
_space_group_IT_number 166
_space_group_name_Hall '-R 3 2"'
_cell_length_a 3.5337
_cell_length_b 3.5337
_cell_length_c 33.4976
_cell_angle_alpha 90.00
_cell_angle_beta 90.00
_cell_angle_gamma 120.00
loop_
_atom_site_label
_atom_site_fract_x
_atom_site_fract_y
_atom_site_fract_z
_atom_site_occupancy
Ti1 0.0000 0.0000 0.1355 1
Hg1 0.0000 0.0000 0.2915 1
C1 0.0000 0.0000 0.1966 1

=====

Look up the VASP energy of the eleventh one.
-22.03 eV/f.u.